[1]
## AcCdGa2Pd2 (PBE-GGA)

Data for a relaxed structure of AcCdGa2Pd2.

abc: 4.5024 4.5024 7.2619
angles: 90.00 90.00 120.00
Atoms (fractional coordinates):
Ga  0.6667  0.3333  0.2921
Ga  0.3333  0.6667  0.7079
Pd  0.6667  0.3333  0.6706
Pd  0.3333  0.6667  0.3294
Cd  0.0000  0.0000  0.5000
Ac  0.0000  0.0000  0.0000

- calculated formation energy (eV/f.u.) = -3.781


[2]
## ScSiHg (PBE-GGA)

Data for a relaxed structure of ScSiHg.

abc: 4.1717 3.1591 4.8920
angles: 90.00 115.05 90.00
Atoms (fractional coordinates):
Si  0.3716  0.5000  0.1633
Hg  0.0567  0.5000  0.5345
Sc  0.7457  0.0000  0.9130

- ΔE_f (raw) (meV/atom) = -255


[3]
## CdBiPd3 (PBE-GGA)

Data for a relaxed structure of CdBiPd3.

abc: 5.0571 5.0571 5.0571
angles: 90.00 90.00 90.00
Atoms (fractional coordinates):
Bi  0.0000  0.0000  0.0000
Pd  0.5000  0.0000  0.0000
Pd  0.0000  0.5000  0.0000
Pd  0.0000  0.0000  0.5000
Cd  0.5000  0.5000  0.5000

- calculated formation energy (eV/f.u.) = 2.552


[4]
## BeSBr2 (PBE-GGA)

Data for a relaxed structure of BeSBr2.

abc: 6.7522 6.7522 6.6867
angles: 59.68 59.68 90.00
Atoms (fractional coordinates):
Br  0.8750  0.7521  0.7500
Br  0.5021  0.1250  0.2500
Br  0.3750  0.4979  0.7500
Br  0.2479  0.6250  0.2500
S  0.7500  0.2500  0.5000
S  0.0000  0.0000  0.0000
Be  0.5000  0.5000  0.0000
Be  0.2500  0.7500  0.5000

- ΔE_f (raw) (meV/atom) = 65


[5]
## VGe2N (PBE-GGA)

Data for a relaxed structure of VGe2N.

abc: 5.9144 5.9144 5.4110
angles: 56.87 56.87 90.00
Atoms (fractional coordinates):
Ge  0.3750  0.4496  0.7500
Ge  0.1996  0.6250  0.2500
Ge  0.5504  0.1250  0.2500
Ge  0.8750  0.8004  0.7500
N  0.2500  0.7500  0.5000
N  0.5000  0.5000  0.0000
V  0.0000  0.0000  0.0000
V  0.7500  0.2500  0.5000

- ΔE_f (raw) (meV/atom) = 485


[6]
## OsRu2W (PBE-GGA)

Data for a relaxed structure of OsRu2W.

abc: 4.7406 4.7406 4.7511
angles: 80.28 80.28 33.77
Atoms (fractional coordinates):
W  0.5004  0.5004  0.5046
Ru  0.7495  0.7495  0.7541
Ru  0.9985  0.9985  0.0066
Os  0.2516  0.2516  0.2348

- calculated formation energy (eV/f.u.) = 0.254


[7]
## LiPm4Ir2 (PBE-GGA)

Data for a relaxed structure of LiPm4Ir2.

abc: 8.3191 8.3195 8.3150
angles: 120.22 110.98 97.99
Atoms (fractional coordinates):
Pm  0.8271  0.6301  0.1967
Pm  0.8805  0.5983  0.7169
Pm  0.3684  0.1517  0.7820
Pm  0.3697  0.5865  0.2180
Pm  0.8814  0.1635  0.2831
Pm  0.4229  0.1191  0.3025
Pm  0.4334  0.6303  0.8033
Pm  0.8166  0.1204  0.6974
Ir  0.6250  0.3744  0.2494
Ir  0.6254  0.8750  0.2503
Ir  0.1250  0.3756  0.7506
Ir  0.6246  0.3750  0.7496
Li  0.1429  0.1430  0.0001
Li  0.1071  0.6071  0.5000

- calculated formation energy (eV/f.u.) = -2.140


[8]
## Mg3Tl7 (PBE-GGA)

Data for a relaxed structure of Mg3Tl7.

abc: 4.7531 6.8030 10.0673
angles: 119.04 103.65 90.00
Atoms (fractional coordinates):
Mg  0.0000  0.0000  0.0000
Mg  0.1961  0.7740  0.3922
Mg  0.8039  0.2260  0.6078
Tl  0.3894  0.1176  0.7788
Tl  0.7942  0.7132  0.5884
Tl  0.5937  0.3557  0.1873
Tl  0.6106  0.8824  0.2212
Tl  0.2058  0.2868  0.4116
Tl  0.0000  0.5000  0.0000
Tl  0.4063  0.6443  0.8127

- calculated formation energy (eV/f.u.) = 0.140


[9]
## Cs2MnBI6 (PBE-GGA)

Data for a relaxed structure of Cs2MnBI6.

abc: 7.9515 7.9515 8.3065
angles: 61.40 61.40 90.00
Atoms (fractional coordinates):
I  0.7336  0.2664  0.0000
I  0.2202  0.2202  0.5596
I  0.7336  0.7336  0.0000
I  0.2664  0.7336  0.0000
I  0.2664  0.2664  0.0000
I  0.7798  0.7798  0.4404
B  0.5000  0.5000  0.0000
Mn  0.0000  0.0000  0.0000
Cs  0.2500  0.7500  0.5000
Cs  0.7500  0.2500  0.5000

- ΔE_f (raw) (meV/atom) = -436


[10]
## Ce5Pu (PBE-GGA)

Data for a relaxed structure of Ce5Pu.

abc: 3.2920 3.2920 16.8284
angles: 90.00 90.00 120.00
Atoms (fractional coordinates):
Ce  0.6667  0.3333  0.5000
Ce  0.6667  0.3333  0.8386
Ce  0.0000  0.0000  0.3311
Ce  0.6667  0.3333  0.1614
Ce  0.0000  0.0000  0.6689
Pu  0.0000  0.0000  0.0000

- calculated formation energy (eV/f.u.) = 0.747


[11]
## GaPd2Pt6 (PBE-GGA)

Data for a relaxed structure of GaPd2Pt6.

abc: 5.9961 5.3963 5.3963
angles: 59.99 90.00 90.00
Atoms (fractional coordinates):
Pt  0.3172  0.8283  0.8283
Pt  0.3173  0.8284  0.3434
Pt  0.3173  0.3434  0.8284
Pt  0.6827  0.1716  0.6566
Pt  0.6828  0.1717  0.1717
Pt  0.6827  0.6566  0.1716
Pd  0.9173  0.6666  0.6666
Pd  0.0827  0.3334  0.3334
Ga  0.0000  0.0000  0.0000

- calculated formation energy (eV/f.u.) = -0.297


[12]
## Y2Ho4Te9 (PBE-GGA)

Data for a relaxed structure of Y2Ho4Te9.

abc: 7.6735 7.6732 21.0328
angles: 90.00 90.00 60.00
Atoms (fractional coordinates):
Ho  0.6667  0.6667  0.5092
Ho  0.6666  0.6666  0.0092
Ho  0.3336  0.3334  0.6760
Ho  0.3333  0.3333  0.4908
Ho  0.6670  0.6666  0.8241
Ho  0.6664  0.6666  0.3240
Ho  0.3330  0.3334  0.1759
Ho  0.3334  0.3334  0.9908
Te  0.9997  0.6845  0.2500
Te  0.9811  0.6650  0.9168
Te  0.6648  0.3541  0.9167
Te  0.0003  0.3155  0.7500
Te  0.3543  0.9812  0.9166
Te  0.9811  0.3541  0.4167
Te  0.0189  0.6459  0.5833
Te  0.3539  0.6649  0.4167
Te  0.3157  0.6846  0.7500
Te  0.3152  0.0000  0.2500
Te  0.6645  0.9812  0.4166
Te  0.0189  0.3350  0.0832
Te  0.6843  0.3154  0.2500
Te  0.6457  0.0188  0.0834
Te  0.3355  0.0188  0.5834
Te  0.6461  0.3351  0.5833
Te  0.6848  0.0000  0.7500
Te  0.3352  0.6459  0.0833
Y  0.9998  0.0000  0.3429
Y  0.0002  0.0000  0.6571
Y  0.9998  0.0000  0.1571
Y  0.0002  0.0000  0.8429

- ΔE_f (raw) (meV/atom) = -1364


[13]
## Ni2PbAu (PBE-GGA)

Data for a relaxed structure of Ni2PbAu.

abc: 5.1917 5.1917 5.1917
angles: 139.50 133.68 63.19
Atoms (fractional coordinates):
Ni  0.9809  0.9809  0.0000
Ni  0.7633  0.2633  0.5000
Pb  0.5103  0.5103  0.0000
Au  0.2454  0.7454  0.5000

- calculated formation energy (eV/f.u.) = 0.894


[14]
## TbPm8Dy6 (PBE-GGA)

Data for a relaxed structure of TbPm8Dy6.

abc: 6.5561 9.4288 9.4288
angles: 120.00 90.00 90.00
Atoms (fractional coordinates):
Pm  0.8796  0.3333  0.6667
Pm  0.1665  0.2854  0.2503
Pm  0.1204  0.6667  0.3333
Pm  0.8335  0.2503  0.9650
Pm  0.1665  0.7497  0.0350
Pm  0.1665  0.9650  0.7146
Pm  0.8335  0.0350  0.2854
Pm  0.8335  0.7146  0.7497
Dy  0.3403  0.0924  0.4376
Dy  0.6597  0.4376  0.3452
Dy  0.3403  0.5624  0.6548
Dy  0.3403  0.3452  0.9076
Dy  0.6597  0.9076  0.5624
Dy  0.6597  0.6548  0.0924
Tb  0.5000  0.0000  0.0000

- calculated formation energy (eV/f.u.) = 2.654


[15]
## Tb6Y16Ho7 (PBE-GGA)

Data for a relaxed structure of Tb6Y16Ho7.

abc: 11.1465 11.1465 11.1465
angles: 60.00 60.00 60.00
Atoms (fractional coordinates):
Ho  0.0000  0.0000  0.0000
Ho  0.5000  0.0000  0.0000
Ho  0.5000  0.5000  0.0000
Ho  0.0000  0.5000  0.0000
Ho  0.0000  0.0000  0.5000
Ho  0.0000  0.5000  0.5000
Ho  0.5000  0.0000  0.5000
Tb  0.2755  0.2755  0.7245
Tb  0.2755  0.7245  0.2755
Tb  0.7245  0.2755  0.7245
Tb  0.2755  0.7245  0.7245
Tb  0.7245  0.7245  0.2755
Tb  0.7245  0.2755  0.2755
Y  0.6516  0.6516  0.0452
Y  0.8772  0.3684  0.8772
Y  0.6516  0.6516  0.6516
Y  0.8772  0.8772  0.3684
Y  0.0452  0.6516  0.6516
Y  0.6516  0.0452  0.6516
Y  0.8772  0.8772  0.8772
Y  0.1228  0.1228  0.1228
Y  0.6316  0.1228  0.1228
Y  0.3484  0.3484  0.9548
Y  0.3484  0.3484  0.3484
Y  0.3684  0.8772  0.8772
Y  0.9548  0.3484  0.3484
Y  0.1228  0.6316  0.1228
Y  0.1228  0.1228  0.6316
Y  0.3484  0.9548  0.3484

- calculated formation energy (eV/f.u.) = 7.194


[16]
## Ca3SiBr2 (PBE-GGA)

Data for a relaxed structure of Ca3SiBr2.

abc: 9.9990 9.9990 9.9990
angles: 155.32 155.32 35.18
Atoms (fractional coordinates):
Ca  0.6452  0.6452  0.0000
Ca  0.0000  0.0000  0.0000
Ca  0.3548  0.3548  0.0000
Br  0.1854  0.1854  0.0000
Br  0.8146  0.8146  0.0000
Si  0.5000  0.5000  0.0000

- ΔE_f (raw) (meV/atom) = -1110